A relaxed V2AgF crystal, computed with PBE+U.

abc: 5.3392 5.3392 7.1340
angles: 68.02 68.02 90.00
Site moments in Bohr magnetons follow the coordinates.
Positions (direct):
V 0.4989 0.1250 0.2500  2.91
V 0.2511 0.6250 0.2500  2.91
V 0.3750 0.5011 0.7500  2.91
V 0.8750 0.7489 0.7500  2.91
Ag 0.0000 0.0000 0.0000  0.03
Ag 0.7500 0.2500 0.5000  0.03
F 0.5000 0.5000 0.0000  0.02
F 0.2500 0.7500 0.5000  0.02

Summary:
**M_tot**: 6.82 μB per formula unit
**Mass density**: 4.40 g cm⁻³
**D(E_F)**: 4.759 states/eV/cell
**DFT total energy**: -4.642 eV/atom
**Energy relative to the lowest polymorph listed for this composition**: 0.0 kJ per mole of atoms